(1)
The following is a GGA-PBEsol calculation of a relaxed structure of LaSeCl, from the Alexandria database.

crystal system: orthorhombic
space group: Pnma, No. 62
total DFT energy (no corrections): -5.959 eV per atom
magnetization: 0.0 μB per formula unit
raw formation energy: -2224 meV per atom

Structure (POSCAR):
```
LaSeCl
1.0
-2.610 -2.661 2.138
5.791 -2.280 4.231
-1.779 6.524 5.949
Se Cl La
4 4 4
Direct
0.750 0.041 0.828
0.750 0.541 0.672
0.250 0.959 0.172
0.250 0.459 0.328
0.750 0.635 0.060
0.750 0.135 0.440
0.250 0.865 0.560
0.250 0.365 0.940
0.250 0.257 0.632
0.750 0.243 0.132
0.250 0.757 0.868
0.750 0.743 0.368
```

---

(2)
The following is a GGA-PBEsol calculation of a relaxed structure of La2Se2Cl, from the Alexandria database.

crystal system: tetragonal
space group: P4/mbm, No. 127
total DFT energy (no corrections): -6.184 eV per atom
magnetization: 0.0 μB per formula unit
raw formation energy: -2103 meV per atom

Structure (POSCAR):
```
La2Se2Cl
1.0
-1.261 2.338 -2.939
-6.302 -4.809 -1.121
-4.229 4.318 5.250
La Se Cl
4 4 2
Direct
0.000 0.841 0.659
0.000 0.341 0.841
0.000 0.159 0.341
0.000 0.659 0.159
0.500 0.142 0.642
0.500 0.642 0.858
0.500 0.858 0.358
0.500 0.358 0.142
0.000 0.000 0.000
0.000 0.500 0.500
```

---

(3)
The following is a GGA-PBEsol calculation of a relaxed structure of LaSeCl, from the Alexandria database.

crystal system: cubic
space group: F-43m, No. 216
total DFT energy (no corrections): -5.885 eV per atom
magnetization: 0.0 μB per formula unit
raw formation energy: -2151 meV per atom

Structure (POSCAR):
```
LaSeCl
1.0
4.899 0.000 0.000
2.449 4.242 0.000
2.449 1.414 4.000
Se Cl La
1 1 1
Direct
0.000 0.000 0.000
0.500 0.500 0.500
0.250 0.250 0.250
```

---

(4)
The following is a GGA-PBEsol calculation of a relaxed structure of LaTiSeCl2, from the Alexandria database.

crystal system: tetragonal
space group: P4/mmm, No. 123
total DFT energy (no corrections): -5.628 eV per atom
magnetization: 0.1 μB per formula unit
raw formation energy: -1321 meV per atom

Structure (POSCAR):
```
LaTiSeCl2
1.0
-2.751 -3.144 -1.961
-0.186 -2.322 3.984
-4.091 2.712 1.390
Cl Se La Ti
2 1 1 1
Direct
0.500 0.000 0.000
0.000 0.500 0.000
0.000 0.000 0.500
0.500 0.500 0.500
0.000 0.000 0.000
```

---

(5)
The following is a GGA-PBEsol calculation of a relaxed structure of La2WSeCl, from the Alexandria database.

crystal system: tetragonal
space group: P4/mmm, No. 123
total DFT energy (no corrections): -6.355 eV per atom
magnetization: 0.0 μB per formula unit
raw formation energy: -284 meV per atom

Structure (POSCAR):
```
La2WSeCl
1.0
4.582 0.000 0.000
0.000 5.443 0.000
0.000 0.000 5.443
La Se W Cl
2 1 1 1
Direct
0.000 0.500 0.000
0.000 0.000 0.500
0.500 0.500 0.500
0.000 0.000 0.000
0.500 0.000 0.000
```

---

(6)
The following is a GGA-PBEsol calculation of a relaxed structure of LaSiCl2, from the Alexandria database.

crystal system: cubic
space group: Fm-3m, No. 225
total DFT energy (no corrections): -4.599 eV per atom
magnetization: 0.0 μB per formula unit
offset from the most stable computed form: 215.0 meV per atom
raw formation energy: -822 meV per atom

Structure (POSCAR):
```
LaSiCl2
1.0
4.956 0.000 0.000
2.478 4.292 0.000
2.478 1.431 4.046
La Cl Si
1 2 1
Direct
0.000 0.000 0.000
0.750 0.750 0.750
0.250 0.250 0.250
0.500 0.500 0.500
```

---

(7)
The following is a GGA-PBEsol calculation of a relaxed structure of La3SiCl3, from the Alexandria database.

crystal system: cubic
space group: I4_132, No. 214
total DFT energy (no corrections): -5.668 eV per atom
magnetization: 0.0 μB per formula unit
raw formation energy: -1696 meV per atom

Structure (POSCAR):
```
La3SiCl3
1.0
-5.481 -0.568 -8.595
9.948 -0.161 -2.291
-2.240 -7.954 5.997
Cl La Si
12 12 4
Direct
0.001 0.251 0.501
0.001 0.750 0.999
0.499 0.249 0.999
0.750 0.251 0.749
0.499 0.499 0.749
0.499 0.001 0.250
0.249 0.750 0.751
0.251 0.001 0.501
0.750 0.499 0.501
0.001 0.001 0.751
0.249 0.499 0.999
0.251 0.249 0.250
0.250 0.746 0.254
0.509 0.754 0.004
0.996 0.746 0.491
0.746 0.991 0.496
0.746 0.754 0.750
0.996 0.250 0.004
0.754 0.504 0.009
0.754 0.250 0.246
0.504 0.509 0.254
0.504 0.996 0.750
0.250 0.504 0.496
0.991 0.996 0.246
0.750 0.750 0.250
0.000 0.500 0.250
0.750 0.000 0.000
0.500 0.750 0.500
```

---

(8)
The following is a GGA-PBEsol calculation of a relaxed structure of La3SiCl, from the Alexandria database.

crystal system: cubic
space group: Pm-3m, No. 221
total DFT energy (no corrections): -5.282 eV per atom
magnetization: 0.0 μB per formula unit
raw formation energy: -523 meV per atom

Structure (POSCAR):
```
La3SiCl
1.0
5.276 0.000 0.000
0.000 5.276 0.000
0.000 0.000 5.276
La Si Cl
3 1 1
Direct
0.000 0.500 0.000
0.500 0.000 0.000
0.000 0.000 0.500
0.500 0.500 0.500
0.000 0.000 0.000
```

---

Q: Which of these has the highest total DFT energy (no corrections)?
A: LaSiCl2